Entry 1:
An optimized crystal structure of BaPaTl2Br8, computed with PBE.

Output
total magnetization = 1.0 μB/cell
uncorrected formation energy = -1.43 eV per atom
crystal system = monoclinic

a = 7.4195 Å, b = 9.5159 Å, c = 7.5239 Å
α = 90.00°, β = 92.02°, γ = 90.00°
Closest atoms and distances in Å follow each position.
Space group P2/m (No. 10)
Unique sites:
Ba (0.0000, 0.0000, 0.0000)  6 Br 3.18-3.33
Pa (0.0000, 0.5000, 0.0000)  6 Br 2.77-2.85
Tl (0.5000, 0.2466, 0.5000)  4 Br 3.14-3.52
Br (0.2025, 0.5000, 0.3161)  1 Pa 2.77
Br (0.2230, 0.2825, 0.8677)  1 Pa 2.85
Br (0.2612, 0.0000, 0.3437)  2 Tl 3.14, 1 Ba 3.18

=====

Entry 2:
An optimized crystal structure of TlSi2O, computed with PBE.

Output
total magnetization = 0.0 μB/cell
polymorph energy (0 for the lowest one) = 0 meV/atom
uncorrected formation energy = -0.08 eV per atom
crystal system = tetragonal

a = 4.8025 Å, b = 4.8025 Å, c = 12.8240 Å
α = 90.00°, β = 90.00°, γ = 90.00°
Closest atoms and distances in Å follow each position.
Space group I-42d (No. 122)
Unique sites:
Tl (0.0000, 0.0000, 0.0000)  4 Si 2.84
Si (0.0796, 0.2500, 0.6250)  2 O 2.04
O (0.0000, 0.0000, 0.5000)  4 Si 2.04

=====

Entry 3:
An optimized crystal structure of Tl2Pb2S5, computed with PBE.

Output
total magnetization = 0.0 μB/cell
uncorrected formation energy = -0.21 eV per atom
crystal system = monoclinic

a = 18.7281 Å, b = 4.2022 Å, c = 6.7388 Å
α = 90.00°, β = 95.59°, γ = 90.00°
Closest atoms and distances in Å follow each position.
Space group C2/m (No. 12)
Unique sites:
Tl (0.1355, 0.0000, 0.3751)  4 S 2.47-2.75
Pb (0.0618, 0.5000, 0.8157)  3 S 2.75-2.84
S (0.0000, 0.0000, 0.5000)  2 Tl 2.75
S (0.1432, 0.0000, 0.0111)  1 Tl 2.47
S (0.1752, 0.5000, 0.5861)  2 Tl 2.60, 1 Pb 2.75

=====

Entry 4:
An optimized crystal structure of NaY2Mo, computed with PBE.

Output
total magnetization = 4.3 μB/cell
polymorph energy (0 for the lowest one) = 0 meV/atom
formation energy from the elements = 0.50 eV/atom
crystal system = cubic

a = 7.3216 Å, b = 7.3216 Å, c = 7.3216 Å
α = 90.00°, β = 90.00°, γ = 90.00°
Closest atoms and distances in Å follow each position.
Space group Fm-3m (No. 225)
Unique sites:
Na (0.0000, 0.0000, 0.0000)  8 Y 3.17
Y (0.2500, 0.2500, 0.2500)  4 Na 3.17, 4 Mo 3.17
Mo (0.0000, 0.0000, 0.5000)  8 Y 3.17

=====

Entry 5:
An optimized crystal structure of Sm5Dy4Ho2, computed with PBE.

Output
total magnetization = 0.0 μB/cell
polymorph energy (0 for the lowest one) = 40 meV/atom
formation energy from the elements = 0.22 eV/atom
crystal system = orthorhombic

a = 3.5107 Å, b = 9.1002 Å, c = 23.3785 Å
α = 90.00°, β = 90.00°, γ = 90.00°
Closest atoms and distances in Å follow each position.
Space group Immm (No. 71)
Unique sites:
Sm (0.0000, 0.0000, 0.0000)  4 Dy 3.32, 2 Sm 3.51
Sm (0.0000, 0.2993, 0.3534)  3 Ho 3.40-3.79, 3 Dy 3.44-3.57, 3 Sm 3.51-3.65
Dy (0.0000, 0.1899, 0.5000)  4 Sm 3.32-3.57, 7 Dy 3.35-3.51
Dy (0.0000, 0.5000, 0.0969)  1 Ho 3.13, 4 Dy 3.35, 4 Sm 3.44
Ho (0.0000, 0.5000, 0.2305)  1 Dy 3.13, 2 Sm 3.40

=====

Entry 6:
An optimized crystal structure of MnCuS2, computed with PBE.

Output
total magnetization = 8.0 μB/cell
uncorrected formation energy = -0.35 eV per atom
crystal system = monoclinic

a = 6.1156 Å, b = 3.5371 Å, c = 6.0837 Å
α = 90.00°, β = 109.51°, γ = 90.00°
Closest atoms and distances in Å follow each position.
Space group C2/m (No. 12)
Unique sites:
Mn (0.0000, 0.0000, 0.0000)  6 S 2.48-2.49
Cu (0.0000, 0.5000, 0.5000)  6 S 2.50
S (0.2500, 0.0000, 0.7514)  3 Mn 2.48-2.49, 3 Cu 2.50

=====

Entry 7:
An optimized crystal structure of KSm2ErTe4, computed with PBE.

Output
total magnetization = 0.0 μB/cell
uncorrected formation energy = -1.31 eV per atom
crystal system = monoclinic

a = 7.8352 Å, b = 4.4266 Å, c = 7.8411 Å
α = 90.00°, β = 108.38°, γ = 90.00°
Closest atoms and distances in Å follow each position.
Space group P2/m (No. 10)
Unique sites:
K (0.0000, 0.0000, 0.0000)  6 Te 3.23-3.27
Sm (0.5000, 0.0000, 0.5000)  6 Te 3.11-3.13
Sm (0.5000, 0.5000, 0.0000)  6 Te 3.23-3.24
Er (0.0000, 0.5000, 0.5000)  6 Te 3.13-3.14
Te (0.2468, 0.0000, 0.7385)  3 Sm 3.13-3.24, 2 Er 3.14, 1 K 3.23
Te (0.2580, 0.5000, 0.2657)  3 Sm 3.11-3.23, 1 Er 3.13, 2 K 3.27

=====

Entry 8:
An optimized crystal structure of CsLi2TeI, computed with PBE.

Output
total magnetization = 0.0 μB/cell
polymorph energy (0 for the lowest one) = 0 meV/atom
uncorrected formation energy = -1.18 eV per atom
crystal system = tetragonal

a = 4.7135 Å, b = 4.7135 Å, c = 15.7306 Å
α = 90.00°, β = 90.00°, γ = 90.00°
Closest atoms and distances in Å follow each position.
Space group I4mm (No. 107)
Unique sites:
Cs (0.0000, 0.0000, 0.0000)  4 Te 3.95, 4 I 4.23, 4 Li 4.24
Li (0.0000, 0.5000, 0.2239)  2 Te 2.74, 2 I 2.93
Te (0.0000, 0.0000, 0.6346)  4 Li 2.74
I (0.0000, 0.0000, 0.3344)  4 Li 2.93

=====

- total magnetization of number 3 (Tl2Pb2S5)?
  0.0 μB/cell